Here is a geometry-optimized PuCuS4 structure from Alexandria via LeMat-Bulk. Energies are from PBE-GGA.

Cell lengths 8.4715, 6.8620, 8.4768 Å; angles 90.00, 90.00, 90.00 degrees
Space group Cmcm (No. 63)
Unique sites:
Pu  0.0000  0.0666  0.2500 [4 per cell]
Cu  0.0000  0.4349  0.7500 [4 per cell]
S  0.0000  0.2268  0.5424 [8 per cell]
S  0.2118  0.3674  0.2500 [8 per cell]

=====

Here is a geometry-optimized La2Cu structure from Alexandria via LeMat-Bulk. Energies are from PBE-GGA.

Cell lengths 14.0483, 14.0483, 14.0483 Å; angles 90.00, 90.00, 90.00 degrees
Space group Fd-3m (No. 227, origin choice 2)
Unique sites:
La  0.0000  0.0000  0.0000 [16 per cell]
La  0.0650  0.3750  0.8750 [48 per cell]
Cu  0.0258  0.0258  0.2242 [32 per cell]

Energy relative to the elements, eV per formula unit: -0.14

=====

Here is a geometry-optimized SmDySi2 structure from Alexandria via LeMat-Bulk. Energies are from PBE-GGA.

Cell lengths 3.8733, 5.7656, 8.0226 Å; angles 90.00, 90.00, 90.00 degrees
Space group Pmc2_1 (No. 26)
Unique sites:
Sm  0.0000  0.1352  0.0000 [2 per cell]
Dy  0.5000  0.3649  0.6400 [2 per cell]
Si  0.0000  0.3786  0.3573 [2 per cell]
Si  0.5000  0.1259  0.2839 [2 per cell]

Energy relative to the lowest polymorph listed for this composition, kcal/mol of atoms: 0.000

=====

Here is a geometry-optimized SrHg2As structure from Alexandria via LeMat-Bulk. Energies are from PBE-GGA.

Cell lengths 4.4949, 4.2688, 6.2295 Å; angles 90.00, 109.42, 90.00 degrees
Space group Pm (No. 6)
Unique sites:
Sr  0.0000  0.0000  0.0000 [1 per cell]
Hg  0.2860  0.0000  0.5595 [1 per cell]
Hg  0.7010  0.5000  0.3929 [1 per cell]
As  0.4619  0.5000  0.9100 [1 per cell]

Energy relative to the elements, eV per formula unit: -1.76

=====

Here is a geometry-optimized Pm2NiP3Ir4 structure from Alexandria via LeMat-Bulk. Energies are from PBE-GGA.

Cell lengths 4.1161, 4.1161, 9.8084 Å; angles 90.00, 90.00, 90.00 degrees
Space group P-4m2 (No. 115)
Unique sites:
Pm  0.0000  0.5000  0.2417 [2 per cell]
Ni  0.5000  0.5000  0.0000 [1 per cell]
P  0.0000  0.0000  0.0000 [1 per cell]
P  0.0000  0.5000  0.6386 [2 per cell]
Ir  0.0000  0.0000  0.5000 [1 per cell]
Ir  0.0000  0.5000  0.8725 [2 per cell]
Ir  0.5000  0.5000  0.5000 [1 per cell]

Energy relative to the elements, eV per formula unit: -8.89

=====

Here is a geometry-optimized Te2IrPt structure from Alexandria via LeMat-Bulk. Energies are from PBE-GGA.

Cell lengths 4.9709, 4.9246, 7.5752 Å; angles 90.00, 90.00, 90.00 degrees
Space group Amm2 (No. 38)
Unique sites:
Te  0.0000  0.0000  0.0000 [2 per cell]
Te  0.5000  0.0000  0.4950 [2 per cell]
Ir  0.0000  0.0000  0.6464 [2 per cell]
Pt  0.5000  0.0000  0.8482 [2 per cell]

Energy relative to the lowest polymorph listed for this composition, kcal/mol of atoms: 1.420

=====

Here is a geometry-optimized Sr2ZnSe structure from Alexandria via LeMat-Bulk. Energies are from PBE-GGA.

Cell lengths 4.5338, 4.5599, 6.4379 Å; angles 90.00, 96.06, 90.00 degrees
Space group P2/m (No. 10)
Unique sites:
Sr  0.0000  0.0000  0.0000 [1 per cell]
Sr  0.5000  0.5000  0.5000 [1 per cell]
Zn  0.0000  0.0000  0.5000 [1 per cell]
Se  0.5000  0.5000  0.0000 [1 per cell]

Energy relative to the lowest polymorph listed for this composition, kcal/mol of atoms: 1.526

=====

Here is a geometry-optimized PrSm2Dy2Mg structure from Alexandria via LeMat-Bulk. Energies are from PBE-GGA.

Cell lengths 6.1882, 18.7797, 3.3987 Å; angles 90.00, 90.00, 90.00 degrees
Space group Pnnm (No. 58)
Unique sites:
Pr  0.0000  0.0000  0.0000 [2 per cell]
Sm  0.1671  0.2012  0.0000 [4 per cell]
Dy  0.1677  0.3634  0.5000 [4 per cell]
Mg  0.0000  0.5000  0.0000 [2 per cell]

Energy relative to the elements, eV per formula unit: 1.31

=====

no.,magnetic moment (μB per atom),density of states at the Fermi level (states/eV per cell),E_tot (eV/atom)
1,0.43,37.61,-6.284
2,0.00,120.59,-4.696
3,0.00,4.77,-5.848
4,0.00,2.40,-2.175
5,0.00,5.43,-7.585
6,0.00,3.94,-5.367
7,0.01,3.35,-2.919
8,0.01,16.54,-3.951